Entry 1:
Below is crystalline TiTl2Se3 at its relaxed geometry, with properties calculated at the PBE level.

E_form (uncorrected) = -0.746 eV/atom
SG = C2/c
Mass density = 6.33 g/cm³
Final energy = -27.558 eV/f.u.

Unit cell a=6.9476 b=7.4921 c=7.4921 alpha=69.88 beta=84.74 gamma=84.74
Closest atoms and distances in Å follow each position.
Positions (direct):
Se 0.5066 0.8347 0.8829  2 Ti 2.50-2.59
Se 0.7500 0.6474 0.3526  1 Ti 2.36
Se 0.0066 0.8829 0.8347  2 Ti 2.50-2.59
Ti 0.2500 0.0777 0.9223  5 Se 2.36-2.59
Tl 0.8277 0.4945 0.8137  6 Se 3.31-3.59
Se 0.2500 0.3526 0.6474  1 Ti 2.36
Tl 0.3277 0.8137 0.4945  6 Se 3.31-3.59
Se 0.4934 0.1653 0.1171  2 Ti 2.50-2.59
Ti 0.7500 0.9223 0.0777  5 Se 2.36-2.59
Tl 0.1723 0.5055 0.1863  6 Se 3.31-3.59
Se 0.9934 0.1171 0.1653  2 Ti 2.50-2.59
Tl 0.6723 0.1863 0.5055  6 Se 3.31-3.59



Entry 2:
Below is crystalline TiTl3Se at its relaxed geometry, with properties calculated at the PBE level.

E_form (uncorrected) = 0.502 eV/atom
SG = Pm-3m
Mass density = 7.31 g/cm³
Final energy = -15.968 eV/f.u.

Unit cell a=5.5180 b=5.5180 c=5.5180 alpha=90.00 beta=90.00 gamma=90.00
Closest atoms and distances in Å follow each position.
Positions (direct):
Tl 0.0000 0.5000 0.0000  2 Ti 2.76
Tl 0.5000 0.0000 0.0000  2 Ti 2.76
Se 0.5000 0.5000 0.5000  12 Tl 3.90
Ti 0.0000 0.0000 0.0000  6 Tl 2.76
Tl 0.0000 0.0000 0.5000  2 Ti 2.76



Entry 3:
Below is crystalline TiTl2Se at its relaxed geometry, with properties calculated at the PBE level.

E_form (uncorrected) = 0.210 eV/atom
SG = I-42d
Mass density = 8.71 g/cm³
Final energy = -15.273 eV/f.u.

Unit cell a=8.2661 b=8.2661 c=6.5648 alpha=50.98 beta=50.98 gamma=90.00
Closest atoms and distances in Å follow each position.
Positions (direct):
Ti 0.2500 0.7500 0.5000  4 Tl 2.98, 2 Se 2.99
Se 0.0000 0.0000 0.0000  2 Ti 2.99, 4 Tl 3.05
Ti 0.5000 0.5000 0.0000  4 Tl 2.98, 2 Se 2.99
Tl 0.6184 0.1250 0.2500  2 Ti 2.98, 2 Tl 2.99, 2 Se 3.05
Tl 0.3750 0.3816 0.7500  2 Ti 2.98, 2 Tl 2.99, 2 Se 3.05
Se 0.7500 0.2500 0.5000  2 Ti 2.99, 4 Tl 3.05
Tl 0.1316 0.6250 0.2500  2 Ti 2.98, 2 Tl 2.99, 2 Se 3.05
Tl 0.8750 0.8684 0.7500  2 Ti 2.98, 2 Tl 2.99, 2 Se 3.05



Entry 4:
Below is crystalline TiTl3Se at its relaxed geometry, with properties calculated at the PBE level.

E_form (uncorrected) = 0.774 eV/atom
SG = Pm-3m
Mass density = 6.58 g/cm³
Final energy = -14.607 eV/f.u.

Unit cell a=5.7155 b=5.7155 c=5.7155 alpha=90.00 beta=90.00 gamma=90.00
Closest atoms and distances in Å follow each position.
Positions (direct):
Se 0.0000 0.0000 0.0000  6 Tl 2.86
Tl 0.0000 0.0000 0.5000  2 Se 2.86
Tl 0.5000 0.0000 0.0000  2 Se 2.86
Ti 0.5000 0.5000 0.5000  12 Tl 4.04
Tl 0.0000 0.5000 0.0000  2 Se 2.86



Entry 5:
Below is crystalline Ti3Tl2Se8 at its relaxed geometry, with properties calculated at the PBE level.

E_form (uncorrected) = -0.781 eV/atom
SG = C2/m
Mass density = 5.65 g/cm³
Final energy = -66.445 eV/f.u.

Unit cell a=6.3662 b=7.2789 c=8.5240 alpha=115.27 beta=101.60 gamma=90.00
Closest atoms and distances in Å follow each position.
Positions (direct):
Ti 0.0000 0.7442 0.0000  6 Se 2.50-2.62
Tl 0.3321 0.2427 0.4854  6 Se 3.04-3.28
Se 0.1160 0.9002 0.8004  3 Ti 2.58-2.62
Tl 0.6679 0.7573 0.5146  6 Se 3.04-3.28
Se 0.6117 0.1618 0.8138  2 Ti 2.54-2.57
Se 0.3883 0.8382 0.1862  2 Ti 2.54-2.57
Se 0.8840 0.0998 0.1996  3 Ti 2.58-2.62
Se 0.3883 0.3480 0.1862  2 Ti 2.54-2.57
Ti 0.0000 0.2558 0.0000  6 Se 2.50-2.62
Se 0.6117 0.6520 0.8138  2 Ti 2.54-2.57
Se 0.9197 0.6021 0.2042  2 Ti 2.50
Se 0.0803 0.3979 0.7958  2 Ti 2.50
Ti 0.5000 0.0000 0.0000  6 Se 2.54-2.58



Entry 6:
Below is crystalline Ti2TlSe at its relaxed geometry, with properties calculated at the PBE level.

E_form (uncorrected) = 0.163 eV/atom
SG = I-42d
Mass density = 7.02 g/cm³
Final energy = -20.990 eV/f.u.

Unit cell a=4.3984 b=4.3984 c=9.7830 alpha=77.01 beta=77.01 gamma=90.00
Closest atoms and distances in Å follow each position.
Positions (direct):
Ti 0.3750 0.4324 0.7500  2 Se 2.70, 2 Ti 2.78, 2 Tl 2.90
Tl 0.0000 0.0000 0.0000  4 Ti 2.90, 4 Se 3.11
Se 0.5000 0.5000 0.0000  4 Ti 2.70
Ti 0.5676 0.1250 0.2500  2 Se 2.70, 2 Ti 2.78, 2 Tl 2.90
Tl 0.7500 0.2500 0.5000  4 Ti 2.90, 4 Se 3.11
Ti 0.1824 0.6250 0.2500  2 Se 2.70, 2 Ti 2.78, 2 Tl 2.90
Se 0.2500 0.7500 0.5000  4 Ti 2.70
Ti 0.8750 0.8176 0.7500  2 Se 2.70, 2 Ti 2.78, 2 Tl 2.90



> Which value of mass density does entry 6 give?

7.02 g/cm³



> Which of these has the lowest final energy?

Ti3Tl2Se8